The following is a PBE calculation of Pr2Cd5Pb after structural relaxation, from Alexandria via LeMat-Bulk.

abc: 4.7568 9.2884 10.0085
angles: 90.00 90.00 104.84
Sites, in units of the cell vectors:
Pr  0.8036  0.6072  0.7500
Pb  0.5455  0.0909  0.2500
Cd  0.3508  0.7016  0.9714
Cd  0.6492  0.2984  0.4714
Cd  0.6492  0.2984  0.0286
Cd  0.1913  0.3827  0.6052
Cd  0.3508  0.7016  0.5286
Pr  0.1964  0.3928  0.2500
Cd  0.8087  0.6173  0.3948
Pr  0.0000  0.0000  0.0000
Cd  0.1913  0.3827  0.8948
Cd  0.8087  0.6173  0.1052
Cd  0.3870  0.7740  0.2500
Cd  0.6130  0.2260  0.7500
Pr  0.0000  0.0000  0.5000
Pb  0.4545  0.9091  0.7500

Calculated values
**Electronic total energy**: -2.5363 eV per atom
**M_tot**: 0.00 μB/cell
**Formation energy**: -2.447 eV/f.u.